The following is a DFT calculation (PBE) of Ac3ZnCo3 after structural relaxation.

Cell: 4.3660 10.8358 13.7231 Å, 90.00 90.00 90.00°
Last column: nearest neighbours and their distance in Å.
Space group Cmcm (No. 63)
One atom of each set of equivalent atoms:
Ac1 0.0000 0.9999 0.2500 [4 per cell]  6 Co 2.93-3.19
Ac2 0.0000 0.2874 0.1038 [8 per cell]  6 Co 3.07-3.18, 1 Zn 3.42
Zn1 0.0000 0.0000 0.0000 [4 per cell]  4 Co 2.66
Co1 0.0000 0.3195 0.7500 [4 per cell]  2 Co 2.44
Co2 0.0000 0.4228 0.5924 [8 per cell]  1 Co 2.44, 2 Zn 2.66

Values from the calculation:
DFT total energy = -5.0027 eV per atom
spin magnetization = 5.70 μB/cell

=====

The following is a DFT calculation (PBE) of DyLuBeCd after structural relaxation.

Cell: 7.1288 7.1288 7.1288 Å, 90.00 90.00 90.00°
Last column: nearest neighbours and their distance in Å.
Space group F-43m (No. 216)
One atom of each set of equivalent atoms:
Dy1 0.0000 0.0000 0.0000 [4 per cell]  4 Cd 3.09, 4 Be 3.09
Lu1 0.0000 0.0000 0.5000 [4 per cell]  4 Be 3.09, 4 Cd 3.09
Be1 0.2500 0.2500 0.2500 [4 per cell]  4 Dy 3.09, 4 Lu 3.09
Cd1 0.2500 0.2500 0.7500 [4 per cell]  4 Lu 3.09, 4 Dy 3.09

Values from the calculation:
DFT total energy = -3.4866 eV per atom
spin magnetization = 0.02 μB/cell

=====

The following is a DFT calculation (PBE) of AlZn2Hg after structural relaxation.

Cell: 4.6189 4.6189 3.4754 Å, 90.00 90.00 90.00°
Last column: nearest neighbours and their distance in Å.
Space group P4/mmm (No. 123)
One atom of each set of equivalent atoms:
Al1 0.0000 0.0000 0.0000 [1 per cell]  8 Zn 2.89
Zn1 0.0000 0.5000 0.5000 [2 per cell]  4 Hg 2.89, 4 Al 2.89
Hg1 0.5000 0.5000 0.0000 [1 per cell]  8 Zn 2.89

Values from the calculation:
DFT total energy = -1.4605 eV per atom
spin magnetization = 0.00 μB/cell
ΔE to the lowest computed polymorph = 79.2 meV per atom

=====

The following is a DFT calculation (PBE) of Pr2Sm3Er5 after structural relaxation.

Cell: 10.6249 16.1286 9.3891 Å, 90.00 124.37 90.00°
Last column: nearest neighbours and their distance in Å.
Space group C2/c (No. 15)
One atom of each set of equivalent atoms:
Pr1 0.1424 0.1246 0.0481 [8 per cell]  2 Sm 3.13-3.32, 4 Er 3.32-3.47
Sm1 0.0000 0.2726 0.7500 [4 per cell]  1 Er 3.23, 4 Pr 3.32-3.56, 2 Sm 3.58
Sm2 0.1564 0.3783 0.5480 [8 per cell]  1 Pr 3.13, 6 Er 3.31-3.50
Er1 0.0000 0.0229 0.2500 [4 per cell]  4 Pr 3.32-3.44, 3 Er 3.36-3.51, 2 Sm 3.41
Er2 0.0000 0.2311 0.2500 [4 per cell]  4 Sm 3.31-3.50, 3 Er 3.36-3.60, 2 Pr 3.47
Er3 0.0000 0.4731 0.7500 [4 per cell]  5 Sm 3.23-3.50, 2 Er 3.52, 2 Pr 3.52
Er4 0.2346 0.3828 0.2242 [8 per cell]  3 Sm 3.44-3.68, 2 Pr 3.47-3.63, 3 Er 3.51-3.60

Values from the calculation:
DFT total energy = -4.4697 eV per atom
spin magnetization = 0.00 μB/cell
ΔE to the lowest computed polymorph = 0.0 meV per atom

=====

The following is a DFT calculation (PBE) of ScInHg after structural relaxation.

Cell: 4.5394 4.4927 7.0050 Å, 90.00 108.22 90.00°
Last column: nearest neighbours and their distance in Å.
Space group P2_1/m (No. 11)
One atom of each set of equivalent atoms:
Sc1 0.0929 0.2500 0.1872 [2 per cell]  4 Hg 3.02-3.10, 6 In 3.20-3.24, 2 Sc 3.35
In1 0.4219 0.2500 0.8431 [2 per cell]  2 In 3.07, 4 Hg 3.17-3.28, 6 Sc 3.20-3.24
Hg1 0.2546 0.7500 0.5080 [2 per cell]  4 Sc 3.02-3.10, 4 In 3.17-3.28, 4 Hg 3.19-3.20

Values from the calculation:
DFT total energy = -3.4111 eV per atom
spin magnetization = 0.00 μB/cell
ΔE to the lowest computed polymorph = 33.1 meV per atom

=====

The following is a DFT calculation (PBE) of AcTb4Sm7 after structural relaxation.

Cell: 6.3397 7.3326 9.0393 Å, 90.02 103.54 90.00°
Last column: nearest neighbours and their distance in Å.
Space group P-1 (No. 2)
One atom of each set of equivalent atoms:
Ac1 0.0000 0.0000 0.0000 [1 per cell]  2 Tb 3.65, 10 Sm 3.66-3.68
Tb1 0.2187 0.4998 0.6656 [2 per cell]  4 Tb 3.57-3.66, 8 Sm 3.57-3.67
Tb2 0.2795 0.2551 0.3361 [2 per cell]  8 Sm 3.55-3.73, 3 Tb 3.57-3.66, 1 Ac 3.65
Sm1 0.0000 0.5000 0.0000 [1 per cell]  4 Tb 3.61-3.62, 6 Sm 3.63-3.64, 2 Ac 3.67
Sm2 0.2250 0.0000 0.6624 [2 per cell]  6 Sm 3.57-3.71, 5 Tb 3.58-3.71, 1 Ac 3.66
Sm3 0.2809 0.7458 0.3372 [2 per cell]  6 Tb 3.55-3.73, 5 Sm 3.57-3.71, 1 Ac 3.66
Sm4 0.5001 0.2551 0.0008 [2 per cell]  7 Sm 3.59-3.74, 3 Tb 3.60-3.62, 2 Ac 3.68

Values from the calculation:
DFT total energy = -4.6279 eV per atom
spin magnetization = 0.00 μB/cell
ΔE to the lowest computed polymorph = 0.0 meV per atom

=====

The following is a DFT calculation (PBE) of Sc2MnTe after structural relaxation.

Cell: 3.7141 3.7141 23.3682 Å, 90.00 90.00 120.00°
Last column: nearest neighbours and their distance in Å.
Space group R-3m (No. 166, hexagonal axes)
One atom of each set of equivalent atoms:
Sc1 0.0000 0.0000 0.2481 [6 per cell]  3 Mn 2.87, 3 Te 2.93
Mn1 0.0000 0.0000 0.5000 [3 per cell]  6 Sc 2.87
Te1 0.0000 0.0000 0.0000 [3 per cell]  6 Sc 2.93

Values from the calculation:
DFT total energy = -6.4386 eV per atom
spin magnetization = 10.76 μB/cell
formation energy without anion corrections = -0.195 eV/atom

=====

The following is a DFT calculation (PBE) of CaCuSi2 after structural relaxation.

Cell: 2.8322 5.5710 9.2181 Å, 90.00 90.00 90.00°
Last column: nearest neighbours and their distance in Å.
Space group Immm (No. 71)
One atom of each set of equivalent atoms:
Ca1 0.0000 0.0000 0.0000 [2 per cell]  2 Ca 2.83, 4 Si 3.02, 4 Cu 3.12
Cu1 0.0000 0.0000 0.5000 [2 per cell]  4 Si 2.41
Si1 0.0000 0.5000 0.2109 [4 per cell]  2 Cu 2.41

Values from the calculation:
DFT total energy = -4.1067 eV per atom
spin magnetization = 0.00 μB/cell
formation energy without anion corrections = 0.129 eV/atom

=====

The following is a DFT calculation (PBE) of CeMgNi after structural relaxation.

Cell: 3.5241 17.3872 4.2084 Å, 90.00 90.00 90.00°
Last column: nearest neighbours and their distance in Å.
Space group Cmcm (No. 63)
One atom of each set of equivalent atoms:
Ce1 0.0000 0.0864 0.2500 [4 per cell]  6 Ni 2.82-2.93
Mg1 0.0000 0.2942 0.2500 [4 per cell]  1 Ni 2.74
Ni1 0.0000 0.4517 0.2500 [4 per cell]  2 Ni 2.69, 1 Mg 2.74, 6 Ce 2.82-2.93

Values from the calculation:
DFT total energy = -4.6946 eV per atom
spin magnetization = 0.62 μB/cell

=====

The following is a DFT calculation (PBE) of LaY3B after structural relaxation.

Cell: 5.2175 5.2175 5.2175 Å, 90.00 90.00 90.00°
Last column: nearest neighbours and their distance in Å.
Space group Pm-3m (No. 221)
One atom of each set of equivalent atoms:
La1 0.0000 0.0000 0.0000 [1 per cell]  12 Y 3.69
Y1 0.0000 0.5000 0.5000 [3 per cell]  2 B 2.61
B1 0.5000 0.5000 0.5000 [1 per cell]  6 Y 2.61

Values from the calculation:
DFT total energy = -6.1703 eV per atom
spin magnetization = 0.00 μB/cell
ΔE to the lowest computed polymorph = 0.0 meV per atom

=====

The following is a DFT calculation (PBE) of Cs3Pr3NpSe8 after structural relaxation.

Cell: 15.1129 8.7258 9.9261 Å, 90.00 120.54 90.00°
Last column: nearest neighbours and their distance in Å.
Space group C2/m (No. 12)
One atom of each set of equivalent atoms:
Cs1 0.0000 0.0000 0.0000 [2 per cell]  6 Se 3.65-3.66
Cs2 0.2500 0.2500 0.0000 [4 per cell]  6 Se 3.65-3.66
Pr1 0.0000 0.5000 0.5000 [2 per cell]  6 Se 3.00-3.01
Pr2 0.2500 0.2500 0.5000 [4 per cell]  6 Se 3.00-3.02
Np1 0.0000 0.0000 0.5000 [2 per cell]  6 Se 2.87
Se1 0.0185 0.2387 0.3171 [8 per cell]  1 Np 2.87, 2 Pr 3.01-3.02
Se2 0.2202 0.0000 0.6829 [4 per cell]  1 Np 2.87, 2 Pr 3.01
Se3 0.2304 0.5000 0.6910 [4 per cell]  3 Pr 3.00

Values from the calculation:
DFT total energy = -5.4525 eV per atom
spin magnetization = 6.00 μB/cell
formation energy without anion corrections = -1.605 eV/atom

=====

The following is a DFT calculation (PBE) of BaHg3PdPt after structural relaxation.

Cell: 8.6864 11.8434 6.4165 Å, 90.00 90.00 90.00°
Last column: nearest neighbours and their distance in Å.
Space group Cmcm (No. 63)
One atom of each set of equivalent atoms:
Ba1 0.0000 0.2055 0.2500 [4 per cell]  1 Pd 3.13, 1 Pt 3.29, 2 Hg 3.41
Hg1 0.0000 0.3021 0.7500 [4 per cell]  1 Pd 2.70, 1 Pt 2.72
Hg2 0.2451 0.0000 0.0000 [8 per cell]  2 Pd 2.76, 2 Pt 2.80
Pd1 0.0000 0.4702 0.2500 [4 per cell]  5 Hg 2.70-2.76
Pt1 0.0000 0.0722 0.7500 [4 per cell]  5 Hg 2.72-2.80

Values from the calculation:
DFT total energy = -2.6391 eV per atom
spin magnetization = 0.00 μB/cell